1.
Material: NaCoPtO4
Method: DFT, GGA+U
State: relaxed

Unit cell a=5.897 b=6.356 c=8.687 alpha=90.00 beta=90.00 gamma=90.00
Space group Imma (No. 74)
Symmetry-distinct sites (fractional):
Na  0.000  0.250  0.139
Co  0.250  0.250  0.750
Pt  0.000  0.000  0.500
O  0.000  0.050  0.735
O  0.219  0.250  0.526

## Properties
- E (eV per atom) = -5.5978
- V (Å³/cell) = 325.60
- N(E_F) (states/eV/f.u.) = 0.0

2.
Material: NaPu2CoO8
Method: DFT, GGA+U
State: relaxed

Unit cell a=6.651 b=6.908 c=6.880 alpha=90.00 beta=90.00 gamma=90.00
Space group Cmmm (No. 65)
Symmetry-distinct sites (fractional):
Na  0.000  0.000  0.000
Pu  0.000  0.500  0.252
Co  0.000  0.000  0.500
O  0.000  0.304  0.500
O  0.000  0.323  0.000
O  0.216  0.000  0.268

## Properties
- E (eV per atom) = -8.3267
- V (Å³/cell) = 316.14
- N(E_F) (states/eV/f.u.) = 4.4

3.
Material: Na2PuCo2O6
Method: DFT, GGA+U
State: relaxed

Unit cell a=5.615 b=8.838 c=6.120 alpha=90.00 beta=113.13 gamma=90.00
Space group C2/m (No. 12)
Symmetry-distinct sites (fractional):
Na  0.000  0.177  0.000
Pu  0.000  0.000  0.500
Co  0.000  0.338  0.500
O  0.208  0.177  0.705
O  0.228  0.500  0.684

## Properties
- E (eV per atom) = -6.8767
- V (Å³/cell) = 279.24
- N(E_F) (states/eV/f.u.) = 5.7

4.
Material: Na3PuCo2O6
Method: DFT, GGA+U
State: relaxed

Unit cell a=5.474 b=9.507 c=5.794 alpha=90.00 beta=108.03 gamma=90.00
Space group C2/m (No. 12)
Symmetry-distinct sites (fractional):
Na  0.000  0.000  0.000
Na  0.000  0.325  0.000
Pu  0.000  0.500  0.500
Co  0.000  0.167  0.500
O  0.236  0.334  0.710
O  0.239  0.000  0.711

## Properties
- E (eV per atom) = -6.6609
- V (Å³/cell) = 286.72
- N(E_F) (states/eV/f.u.) = 9.7

5.
Material: NaPuCoO6
Method: DFT, GGA+U
State: relaxed

Unit cell a=5.1258 b=5.1258 c=4.5287 alpha=90.00 beta=90.00 gamma=120.00
Space group P312 (No. 149)
Symmetry-distinct sites (fractional):
Na  0.0000  0.0000  0.0000
Pu  0.6667  0.3333  0.5000
Co  0.3333  0.6667  0.0000
O  0.0124  0.3815  0.2462

## Properties
- E (eV per atom) = -7.0831
- V (Å³/cell) = 103.04
- N(E_F) (states/eV/f.u.) = 5.5

6.
Material: RbNa2CoO4
Method: DFT, GGA+U
State: relaxed

Unit cell a=5.943 b=5.943 c=7.291 alpha=90.00 beta=90.00 gamma=90.00
Space group I-42m (No. 121)
Symmetry-distinct sites (fractional):
Rb  0.000  0.000  0.000
Na  0.000  0.500  0.250
Co  0.000  0.000  0.500
O  0.180  0.180  0.381

## Properties
- E (eV per atom) = -4.7269
- V (Å³/cell) = 257.56

7.
Material: Rb2NaCoO4
Method: DFT, GGA+U
State: relaxed

Unit cell a=5.565 b=12.030 c=20.907 alpha=90.00 beta=90.00 gamma=90.00
Space group Fddd (No. 70, origin choice 2)
Symmetry-distinct sites (fractional):
Rb  0.125  0.125  0.308
Na  0.125  0.125  0.125
Co  0.125  0.125  0.625
O  0.068  0.282  0.836

## Properties
- E (eV per atom) = -4.5702
- V (Å³/cell) = 1399.77

8.
Material: Rb2Na4Co2O5
Method: DFT, GGA+U
State: relaxed

Unit cell a=6.524 b=6.524 c=10.346 alpha=90.00 beta=90.00 gamma=90.00
Space group P4_2/mnm (No. 136)
Symmetry-distinct sites (fractional):
Rb  0.196  0.196  0.000
Na  0.000  0.000  0.278
Na  0.000  0.500  0.250
Co  0.210  0.210  0.500
O  0.000  0.000  0.500
O  0.218  0.782  0.164

## Properties
- E (eV per atom) = -4.4721
- V (Å³/cell) = 440.44